## La12Dy2Th (GGA-PBE)

Data for a relaxed La12Dy2Th crystal.

Properties
**Magnetization**: 0.0 μB per formula unit
**Total DFT energy (no corrections)**: -4.9536 eV/atom
**Crystal system**: monoclinic
**DFT formation energy**: 0.0966 eV/atom
**Space-group type**: No. 12

Cell and atoms, written as POSCAR:
```
La12Dy2Th
1.0
6.7078 -1.6174 0.2821
-1.6174 6.7078 0.2821
1.3522 1.3522 25.4375
La Dy Th
24 4 2
Cartesian
3.3017 2.7574 20.5914
5.3025 5.8469 20.8735
3.8158 4.3843 24.0654
1.5765 5.7391 21.6233
5.5858 5.2419 8.7896
0.7035 4.8661 4.3783
5.8322 1.6696 15.0980
2.6967 3.0406 8.5075
1.8391 1.2706 23.7833
5.1719 4.6034 2.2183
2.6455 2.3354 14.3360
4.7730 0.6104 10.9036
1.2007 0.8567 17.2121
1.2519 1.5620 11.3835
2.0583 2.6268 1.9362
4.1072 3.7971 11.6656
4.8806 5.1907 14.6181
0.5957 1.1400 5.1282
1.4567 5.6193 14.9370
3.4019 3.7458 17.4942
5.9280 1.7654 22.6641
3.6852 3.1408 5.4103
0.8232 4.9858 11.0647
4.6772 0.5146 3.3375
3.8427 -0.3199 7.1095
6.2553 2.0927 7.8968
6.7625 2.5999 18.8922
4.3498 0.1872 18.1048
3.4330 -0.7296 0.2317
7.1722 3.0096 25.7700
```

***

## La8Dy2Th (GGA-PBE)

Data for a relaxed La8Dy2Th crystal.

Properties
**Magnetization**: 0.0 μB per formula unit
**Total DFT energy (no corrections)**: -4.7902 eV/atom
**Crystal system**: monoclinic
**DFT formation energy**: 0.3046 eV/atom
**Space-group type**: No. 12

Cell and atoms, written as POSCAR:
```
La8Dy2Th
1.0
-3.9182 6.3735 0.0717
-7.5504 -1.5680 4.3022
3.9615 4.8496 4.0947
La Dy Th
8 2 1
Cartesian
-1.9205 7.9995 4.1836
-5.5652 7.2104 6.3472
0.6465 5.0992 3.4567
-8.1536 4.5558 5.0120
-1.9419 2.4447 2.1215
-5.5866 1.6555 4.2850
-4.4432 4.3565 5.5102
-3.0638 5.2985 2.9585
-1.4513 4.2397 5.7938
-6.0558 5.4153 2.6749
0.0000 0.0000 0.0000
```

***

## La2Dy5Th5 (GGA-PBE)

Data for a relaxed La2Dy5Th5 crystal.

Properties
**Magnetization**: 0.0 μB per formula unit
**Total DFT energy (no corrections)**: -5.7797 eV/atom
**Crystal system**: monoclinic
**DFT formation energy**: 0.0506 eV/atom
**Space-group type**: No. 12

Cell and atoms, written as POSCAR:
```
La2Dy5Th5
1.0
4.9342 0.0000 1.0544
2.1746 7.5329 1.8958
0.2879 0.6257 10.7250
La Dy Th
2 5 5
Cartesian
5.6475 3.6399 9.7889
1.7493 4.5187 3.8863
3.6984 4.0793 6.8376
2.3609 2.4813 1.0241
4.1225 7.1138 4.8529
3.2743 1.0448 8.8223
5.0358 5.6773 12.6511
6.0623 6.6411 7.8475
3.0838 6.1736 9.7137
4.3130 1.9850 3.9616
1.3344 1.5175 5.8277
0.0000 0.0000 0.0000
```

***

## La9DyTh2 (GGA-PBE)

Data for a relaxed La9DyTh2 crystal.

Properties
**Magnetization**: 0.0 μB per formula unit
**Total DFT energy (no corrections)**: -5.2792 eV/atom
**Crystal system**: tetragonal
**DFT formation energy**: 0.0365 eV/atom
**Space-group type**: No. 123

Cell and atoms, written as POSCAR:
```
La9DyTh2
1.0
5.1886 0.0000 0.0000
0.0000 5.1886 0.0000
0.0000 0.0000 15.5875
La Dy Th
9 1 2
Cartesian
2.5943 2.5943 0.0000
2.5943 2.5943 5.2044
2.5943 2.5943 10.3831
2.5943 0.0000 2.6511
2.5943 0.0000 7.7937
2.5943 0.0000 12.9364
0.0000 2.5943 2.6511
0.0000 2.5943 7.7937
0.0000 2.5943 12.9364
0.0000 0.0000 0.0000
0.0000 0.0000 5.1934
0.0000 0.0000 10.3941
```

***

## LaDy2Th (GGA-PBE)

Data for a relaxed LaDy2Th crystal.

Properties
**Magnetization**: 0.0 μB per formula unit
**Total DFT energy (no corrections)**: -5.3716 eV/atom
**Crystal system**: trigonal
**DFT formation energy**: 0.0163 eV/atom
**Space-group type**: No. 166

Cell and atoms, written as POSCAR:
```
LaDy2Th
1.0
-3.3318 -0.6065 1.2602
-0.4785 -2.0866 2.9110
-0.3828 8.4452 8.2331
La Th Dy
1 1 2
Cartesian
0.0000 0.0000 0.0000
-2.0966 2.8760 6.2021
-3.1525 4.2335 9.2442
-1.0406 1.5186 3.1601
```

***

## LaDy6Th (GGA-PBE)

Data for a relaxed LaDy6Th crystal.

Properties
**Magnetization**: 0.0 μB per formula unit
**Total DFT energy (no corrections)**: -4.7825 eV/atom
**Crystal system**: triclinic
**DFT formation energy**: 0.2125 eV/atom
**Space-group type**: No. 2

Cell and atoms, written as POSCAR:
```
LaDy6Th
1.0
6.1223 -0.2015 2.3545
-0.4487 6.3578 1.7130
0.8024 1.4685 7.4301
La Dy Th
1 6 1
Cartesian
0.0000 0.0000 0.0000
0.5201 5.5307 5.0142
3.4270 5.3302 6.5210
3.0490 2.2947 4.9765
5.9559 2.0941 6.4833
3.5305 6.1173 9.8870
2.9455 1.5075 1.6105
-0.2243 3.1789 0.8565
```

***

## LaDy12Th5 (GGA-PBE)

Data for a relaxed LaDy12Th5 crystal.

Properties
**Magnetization**: 0.0 μB per formula unit
**Total DFT energy (no corrections)**: -5.3561 eV/atom
**Crystal system**: monoclinic
**DFT formation energy**: 0.0468 eV/atom
**Space-group type**: No. 12

Cell and atoms, written as POSCAR:
```
LaDy12Th5
1.0
10.6470 -0.0004 -0.0007
5.3236 9.2606 -0.6775
0.0004 -1.6297 5.9639
La Dy Th
1 12 5
Cartesian
0.0000 0.0001 0.0000
14.1904 8.4445 2.3037
1.7807 -0.8140 2.9819
12.3668 9.2600 -0.6778
3.6043 -1.6296 5.9634
7.0943 4.5081 5.5107
3.5558 4.5091 5.5100
12.4152 3.1213 -0.2244
8.8768 3.1224 -0.2251
7.0812 2.2686 2.7543
12.4064 5.3627 2.5298
3.5647 2.2677 2.7558
8.8899 5.3619 2.5313
5.3237 -0.8151 2.9815
5.3250 5.3340 2.4832
10.6461 2.2965 2.8024
10.6488 4.5485 5.5086
5.3223 3.0819 -0.2230
```

***

## LaDy6Th3 (GGA-PBE)

Data for a relaxed LaDy6Th3 crystal.

Properties
**Magnetization**: 0.0 μB per formula unit
**Total DFT energy (no corrections)**: -5.3728 eV/atom
**Crystal system**: monoclinic
**DFT formation energy**: 0.1071 eV/atom
**Space-group type**: No. 11

Cell and atoms, written as POSCAR:
```
LaDy6Th3
1.0
3.5118 0.0000 0.0000
0.0000 13.1176 -1.5046
0.0000 3.4317 13.8618
La Dy Th
2 12 6
Cartesian
0.8780 7.2274 11.9196
2.6339 9.3220 0.4376
0.8780 6.6625 6.6665
2.6339 9.8868 5.6907
0.8780 12.6999 -0.0430
2.6339 3.8495 12.4002
0.8780 13.2307 5.6079
2.6339 3.3187 6.7493
0.8780 11.1911 2.9662
2.6339 5.3583 9.3910
0.8780 10.6219 11.5381
2.6339 5.9275 0.8191
0.8780 4.3351 3.7135
2.6339 12.2142 8.6436
0.8780 15.4561 8.1971
2.6339 1.0933 4.1601
0.8780 7.7857 3.3095
2.6339 8.7637 9.0476
0.8780 13.9172 11.2012
2.6339 2.6322 1.1560
```

***

## La2Dy4Th (GGA-PBE)

Data for a relaxed La2Dy4Th crystal.

Properties
**Magnetization**: 0.0 μB per formula unit
**Total DFT energy (no corrections)**: -4.3925 eV/atom
**Crystal system**: tetragonal
**DFT formation energy**: 0.7051 eV/atom
**Space-group type**: No. 139

Cell and atoms, written as POSCAR:
```
La2Dy4Th
1.0
-3.3824 3.4296 3.0830
-0.9331 -4.2532 3.7076
8.9582 2.9563 1.2351
La Dy Th
2 4 1
Cartesian
-0.5355 0.1952 4.4999
5.1781 1.9375 3.5258
2.2213 1.2267 6.3770
2.4213 0.9060 1.6487
-0.4666 -2.1266 1.8538
-1.6912 1.7148 1.5415
0.0000 0.0000 0.0000
```

***

## La4Dy3Th2 (GGA-PBE)

Data for a relaxed La4Dy3Th2 crystal.

Properties
**Magnetization**: 0.0 μB per formula unit
**Total DFT energy (no corrections)**: -5.2248 eV/atom
**Crystal system**: monoclinic
**DFT formation energy**: 0.1480 eV/atom
**Space-group type**: No. 12

Cell and atoms, written as POSCAR:
```
La4Dy3Th2
1.0
-4.1224 -3.5739 -1.8807
-0.0853 8.0644 -6.2837
6.2345 -10.1312 5.5865
La Dy Th
4 3 2
Cartesian
2.4681 -2.5532 -0.5583
-0.4413 -3.0875 -2.0195
4.9877 -7.3697 3.0717
-2.9609 1.7290 -5.6496
1.4150 0.0277 -3.1542
0.0000 0.0000 0.0000
0.6118 -5.6684 0.5764
4.1554 -5.1083 0.5989
-2.1286 -0.5324 -3.1767
```

***

## La4Dy15Th (GGA-PBE)

Data for a relaxed La4Dy15Th crystal.

Properties
**Magnetization**: 0.0 μB per formula unit
**Total DFT energy (no corrections)**: -4.7782 eV/atom
**Crystal system**: tetragonal
**DFT formation energy**: 0.0298 eV/atom
**Space-group type**: No. 123

Cell and atoms, written as POSCAR:
```
La4Dy15Th
1.0
-0.7026 2.7274 -4.2408
-0.3822 -4.2983 -2.7010
-24.9033 -0.2693 3.9524
La Dy Th
4 15 1
Cartesian
-4.9509 -0.0535 0.7858
-9.9488 -0.1076 1.5790
-14.9545 -0.1617 2.3734
-19.9524 -0.2157 3.1667
-0.5424 -0.7854 -3.4709
-5.4804 -0.8388 -2.6872
-10.4868 -0.8930 -1.8926
-15.5012 -0.9472 -1.0968
-20.5077 -1.0013 -0.3022
-2.7526 1.3377 -1.7393
-7.7877 1.2833 -0.9402
-12.8029 1.2291 -0.1442
-17.8182 1.1749 0.6518
-22.8533 1.1204 1.4509
-2.5924 -2.1751 -0.9694
-7.6275 -2.2295 -0.1703
-12.6427 -2.2838 0.6257
-17.6580 -2.3380 1.4217
-22.6931 -2.3924 2.2208
0.0000 0.0000 0.0000
```

***

## La2Dy2Th (GGA-PBE)

Data for a relaxed La2Dy2Th crystal.

Properties
**Magnetization**: 0.0 μB per formula unit
**Total DFT energy (no corrections)**: -5.2714 eV/atom
**Crystal system**: trigonal
**DFT formation energy**: 0.0244 eV/atom
**Space-group type**: No. 164

Cell and atoms, written as POSCAR:
```
La2Dy2Th
1.0
3.6156 0.0002 -0.0097
1.8078 3.1313 -0.0097
0.0329 0.0190 14.8491
La Dy Th
2 2 1
Cartesian
1.8286 1.0558 8.9886
3.6277 2.0947 5.8411
1.8171 1.0492 2.8016
3.6392 2.1013 12.0282
0.0000 0.0000 0.0000
```

***

## La3DyTh (GGA-PBE)

Data for a relaxed La3DyTh crystal.

Properties
**Magnetization**: 0.0 μB per formula unit
**Total DFT energy (no corrections)**: -5.3388 eV/atom
**Crystal system**: hexagonal
**DFT formation energy**: 0.0221 eV/atom
**Space-group type**: No. 186

Cell and atoms, written as POSCAR:
```
La3DyTh
1.0
3.6540 0.0000 0.0000
-1.8270 3.1645 0.0000
0.0000 0.0000 29.9827
La Dy Th
6 2 2
Cartesian
0.0000 0.0000 9.6474
0.0000 0.0000 24.6387
0.0000 2.1097 3.6669
1.8270 1.0548 18.6583
1.8270 1.0548 27.8717
0.0000 2.1097 12.8803
0.0000 2.1097 21.7509
1.8270 1.0548 6.7596
0.0000 0.0000 0.7764
0.0000 0.0000 15.7677
```

***

## La7Dy4Th (GGA-PBE)

Data for a relaxed La7Dy4Th crystal.

Properties
**Magnetization**: 0.0 μB per formula unit
**Total DFT energy (no corrections)**: -5.0108 eV/atom
**Crystal system**: triclinic
**DFT formation energy**: 0.0159 eV/atom
**Space-group type**: No. 2

Cell and atoms, written as POSCAR:
```
La7Dy4Th
1.0
6.5905 -1.8152 2.7834
0.3243 5.6936 2.9415
2.9139 -1.4322 11.8507
La Dy Th
7 4 1
Cartesian
5.1688 1.4597 3.6120
4.6599 0.9865 13.9636
2.5341 -0.8249 8.3282
7.2946 3.2711 9.2474
7.6282 0.7308 11.8418
3.2952 -0.9076 1.3917
2.2004 1.7153 5.7338
5.5219 0.9100 7.1238
4.3068 1.5362 10.4518
5.7093 -1.6870 9.7039
4.1194 4.1332 7.8717
0.0000 0.0000 0.0000
```

***

## La2Dy2Th3 (GGA-PBE)

Data for a relaxed La2Dy2Th3 crystal.

Properties
**Magnetization**: 0.0 μB per formula unit
**Total DFT energy (no corrections)**: -5.8326 eV/atom
**Crystal system**: orthorhombic
**DFT formation energy**: 0.0700 eV/atom
**Space-group type**: No. 65

Cell and atoms, written as POSCAR:
```
La2Dy2Th3
1.0
3.5308 0.0000 -0.4260
0.0000 3.5689 0.0000
0.4571 0.0000 18.6331
La Dy Th
2 2 3
Cartesian
1.2962 1.7845 10.7427
2.6917 1.7845 7.4644
0.5997 0.0000 4.9704
3.3882 0.0000 13.2367
1.9210 1.7845 15.9215
2.0669 1.7845 2.2856
0.0000 0.0000 0.0000
```

***

## La4Dy4Th (GGA-PBE)

Data for a relaxed La4Dy4Th crystal.

Properties
**Magnetization**: 0.0 μB per formula unit
**Total DFT energy (no corrections)**: -5.0263 eV/atom
**Crystal system**: tetragonal
**DFT formation energy**: 0.0334 eV/atom
**Space-group type**: No. 139

Cell and atoms, written as POSCAR:
```
La4Dy4Th
1.0
-3.2900 3.6687 -1.4629
-0.2750 0.1142 -8.1267
-7.4125 -3.2887 -0.6083
La Dy Th
4 4 1
Cartesian
-4.1227 0.7754 -2.3306
-6.8548 -0.2812 -7.8672
-3.2236 -0.3516 -7.1793
-7.7539 0.8459 -3.0185
-7.9918 -2.6765 -2.2859
-2.9856 3.1708 -7.9119
-5.2881 2.0732 -5.4863
-5.6894 -1.5789 -4.7115
-1.7825 1.8915 -4.7948
```

***

## La4DyTh2 (GGA-PBE)

Data for a relaxed La4DyTh2 crystal.

Properties
**Magnetization**: 0.0 μB per formula unit
**Total DFT energy (no corrections)**: -5.5541 eV/atom
**Crystal system**: trigonal
**DFT formation energy**: 0.0390 eV/atom
**Space-group type**: No. 166

Cell and atoms, written as POSCAR:
```
La4DyTh2
1.0
3.6396 0.0000 0.3425
1.8037 3.1612 0.3425
-0.1487 -0.0864 21.0905
Dy Th La
1 2 4
Cartesian
0.0000 0.0000 0.0000
0.9669 0.5616 9.2345
4.3276 2.5133 12.5410
1.9409 1.1272 18.3941
0.4223 0.2453 15.0219
3.3536 1.9477 3.3814
4.8722 2.8296 6.7536
```

***

## La6DyTh3 (GGA-PBE)

Data for a relaxed La6DyTh3 crystal.

Properties
**Magnetization**: 0.0 μB per formula unit
**Total DFT energy (no corrections)**: -5.3879 eV/atom
**Crystal system**: trigonal
**DFT formation energy**: 0.2547 eV/atom
**Space-group type**: No. 146

Cell and atoms, written as POSCAR:
```
La6DyTh3
1.0
0.0087 -3.3872 9.5401
-0.0952 -9.9551 1.8369
4.0953 -4.4904 3.7733
La Dy Th
6 1 3
Cartesian
0.7853 -9.9943 10.6650
0.7488 -11.0291 5.0943
0.8132 -5.6875 6.9832
2.8199 -7.6920 4.3913
2.8563 -6.7875 10.2291
2.7891 -12.2952 8.0938
1.7665 -13.3616 11.3685
3.8601 -8.9357 7.5666
0.7395 -8.9032 7.5810
2.8657 -4.4776 3.7790
```

***

## LaDyTh4 (GGA-PBE)

Data for a relaxed LaDyTh4 crystal.

Properties
**Magnetization**: 0.0 μB per formula unit
**Total DFT energy (no corrections)**: -6.4949 eV/atom
**Crystal system**: tetragonal
**DFT formation energy**: 0.0399 eV/atom
**Space-group type**: No. 123

Cell and atoms, written as POSCAR:
```
LaDyTh4
1.0
-1.5734 1.6571 2.7775
-1.3241 -3.1480 1.1280
12.4541 -2.2329 8.3873
La Dy Th
1 1 4
Cartesian
4.7783 -1.8619 6.1464
0.0000 0.0000 0.0000
0.6198 -1.1163 3.3458
8.3902 -1.5043 5.6504
4.0639 -0.7286 2.7369
8.9369 -2.6075 8.9470
```

***

## LaDy5Th (GGA-PBE)

Data for a relaxed LaDy5Th crystal.

Properties
**Magnetization**: 0.0 μB per formula unit
**Total DFT energy (no corrections)**: -4.9162 eV/atom
**Crystal system**: triclinic
**DFT formation energy**: 0.1349 eV/atom
**Space-group type**: No. 2

Cell and atoms, written as POSCAR:
```
LaDy5Th
1.0
9.9950 -0.0308 -3.3401
-5.1742 9.5994 -4.6697
-1.0730 -4.5347 8.1967
La Dy Th
2 10 2
Cartesian
4.6419 2.9114 -2.5136
-0.8940 2.1225 2.7004
-1.8154 3.0056 -0.4005
-3.8718 5.6162 -0.8884
1.0478 -0.8695 3.0502
3.3218 -0.1582 -0.8466
2.3365 2.1469 1.7765
1.4113 2.8869 -1.5896
0.4261 5.1921 1.0334
2.7000 5.9033 -2.8633
7.6196 -0.5824 1.0753
5.5633 2.0283 0.5874
0.0000 0.0000 0.0000
4.4610 -2.2828 2.4283
```